! Sm2Ag2GePb (GGA-PBE, optimized geometry); values from VASP
! - V (Å³ per cell) = 145.7
! - spin magnetization (μB/f.u.) = 0.01
! - total DFT energy (no corrections) (eV/atom) = -4.41
&SYSTEM
  ibrav = 0, nat = 6, ntyp = 4
/
ATOMIC_SPECIES
Sm 150.36 Sm.upf
Pb 207.20 Pb.upf
Ag 107.87 Ag.upf
Ge 72.64 Ge.upf
CELL_PARAMETERS angstrom
4.7207 0.0000 0.0000
-2.3603 4.0882 0.0000
0.0000 0.0000 7.5515
ATOMIC_POSITIONS crystal
Sm 0.3333 0.6667 0.0019
Sm 0.3333 0.6667 0.4830
Pb 0.6667 0.3333 0.7792
Ag 0.6667 0.3333 0.2086
Ag 0.0000 0.0000 0.6780
Ge 0.0000 0.0000 0.2834

***

! AgGe5Pd3 (GGA-PBE, optimized geometry); values from VASP
! - V (Å³ per cell) = 172.7
! - total DFT energy (no corrections) (eV/atom) = -4.58
&SYSTEM
  ibrav = 0, nat = 9, ntyp = 3
/
ATOMIC_SPECIES
Ag 107.87 Ag.upf
Pd 106.42 Pd.upf
Ge 72.64 Ge.upf
CELL_PARAMETERS angstrom
5.4241 0.0000 0.0000
-2.7120 4.6974 0.0000
0.0000 0.0000 6.7770
ATOMIC_POSITIONS crystal
Ag 0.0000 0.0000 0.0000
Pd 0.0000 0.5000 0.5000
Pd 0.5000 0.5000 0.5000
Pd 0.5000 0.0000 0.5000
Ge 0.3333 0.6667 0.8104
Ge 0.6667 0.3333 0.1896
Ge 0.6667 0.3333 0.8104
Ge 0.0000 0.0000 0.5000
Ge 0.3333 0.6667 0.1896

***

! AgGePd2 (GGA-PBE, optimized geometry); values from VASP
! - V (Å³ per cell) = 64.6
! - total DFT energy (no corrections) (eV/atom) = -4.57
&SYSTEM
  ibrav = 0, nat = 4, ntyp = 3
/
ATOMIC_SPECIES
Ge 72.64 Ge.upf
Ag 107.87 Ag.upf
Pd 106.42 Pd.upf
CELL_PARAMETERS angstrom
0.0000 3.1853 3.1853
3.1853 0.0000 3.1853
3.1853 3.1853 0.0000
ATOMIC_POSITIONS crystal
Ge 0.5000 0.5000 0.5000
Ag 0.2500 0.2500 0.2500
Pd 0.7500 0.7500 0.7500
Pd 0.0000 0.0000 0.0000